1.
First-principles (GGA-PBE) data for a relaxed OsPd3I crystal, as listed in Alexandria.

Unit cell a=4.8915 b=4.8915 c=4.8915 alpha=90.00 beta=90.00 gamma=90.00
Closest atoms and distances in Å follow each position.
Element x y z (fractional)
I 0.5000 0.5000 0.5000  12 Pd 3.46
Os 0.0000 0.0000 0.0000  6 Pd 2.45
Pd 0.0000 0.5000 0.0000  2 Os 2.45
Pd 0.0000 0.0000 0.5000  2 Os 2.45
Pd 0.5000 0.0000 0.0000  2 Os 2.45

Computed properties:
ΔE to the lowest computed polymorph = 0 meV per atom
electronic total energy = -22.66 eV per formula unit
uncorrected formation energy = 1140 meV/atom
DOS at the Fermi energy = 6.51 states/eV/cell

2.
First-principles (GGA-PBE) data for a relaxed Tm4PPb2 crystal, as listed in Alexandria.

Unit cell a=5.0567 b=5.0567 c=8.7461 alpha=106.80 beta=106.80 gamma=90.00
Closest atoms and distances in Å follow each position.
Element x y z (fractional)
Pb 0.6379 0.6379 0.2757  5 Tm 3.10-3.35
Pb 0.3621 0.3621 0.7243  5 Tm 3.10-3.35
P 0.0000 0.0000 0.0000  6 Tm 2.53-2.68
Tm 0.8323 0.8323 0.6645  1 P 2.68
Tm 0.1677 0.1677 0.3355  1 P 2.68
Tm 0.0000 0.5000 0.0000  2 P 2.53
Tm 0.5000 0.0000 0.0000  2 P 2.53

Computed properties:
ΔE to the lowest computed polymorph = 0 meV per atom
electronic total energy = -35.06 eV per formula unit
E_form = -0.621 eV per atom
DOS at the Fermi energy = 4.08 states/eV/cell

3.
First-principles (GGA-PBE) data for a relaxed YHfTl2 crystal, as listed in Alexandria.

Unit cell a=5.2066 b=5.2066 c=5.2066 alpha=60.00 beta=60.00 gamma=60.00
Closest atoms and distances in Å follow each position.
Element x y z (fractional)
Y 0.0000 0.0000 0.0000  8 Tl 3.19
Tl 0.2500 0.2500 0.2500  4 Hf 3.19, 4 Y 3.19
Tl 0.7500 0.7500 0.7500  4 Hf 3.19, 4 Y 3.19
Hf 0.5000 0.5000 0.5000  8 Tl 3.19

Computed properties:
ΔE to the lowest computed polymorph = 73 meV per atom
electronic total energy = -21.19 eV per formula unit
E_form = -0.009 eV per atom
DOS at the Fermi energy = 4.32 states/eV/cell

4.
First-principles (GGA-PBE) data for a relaxed Tb2ThIn3 crystal, as listed in Alexandria.

Unit cell a=3.5422 b=3.5422 c=13.1072 alpha=90.00 beta=90.00 gamma=90.00
Closest atoms and distances in Å follow each position.
Element x y z (fractional)
Tb 0.5000 0.5000 0.8377  8 In 3.29, 4 Tb 3.54
Tb 0.5000 0.5000 0.1623  8 In 3.29, 4 Tb 3.54
Th 0.5000 0.5000 0.5000  8 In 3.39, 4 Th 3.54
In 0.0000 0.0000 0.0000  8 Tb 3.29, 4 In 3.54
In 0.0000 0.0000 0.6745  4 Tb 3.29, 4 Th 3.39, 4 In 3.54
In 0.0000 0.0000 0.3255  4 Tb 3.29, 4 Th 3.39, 4 In 3.54

Computed properties:
electronic total energy = -27.36 eV per formula unit
E_form = -0.410 eV per atom
DOS at the Fermi energy = 5.61 states/eV/cell

5.
First-principles (GGA-PBE) data for a relaxed Pm3Mg2Cu2Pb4 crystal, as listed in Alexandria.

Unit cell a=4.7207 b=4.7207 c=15.1849 alpha=90.00 beta=90.00 gamma=120.00
Closest atoms and distances in Å follow each position.
Element x y z (fractional)
Pm 0.0000 0.0000 0.7409  6 Pb 3.17-3.44, 3 Cu 3.18
Pm 0.0000 0.0000 0.0000  6 Pb 3.28, 6 Cu 3.57
Pm 0.0000 0.0000 0.2591  6 Pb 3.17-3.44, 3 Cu 3.18
Mg 0.6667 0.3333 0.4322  4 Pb 2.90-3.06
Mg 0.3333 0.6667 0.5678  4 Pb 2.90-3.06
Cu 0.6667 0.3333 0.8485  3 Pb 2.77
Cu 0.3333 0.6667 0.1515  3 Pb 2.77
Pb 0.6667 0.3333 0.1206  3 Cu 2.77
Pb 0.3333 0.6667 0.8794  3 Cu 2.77
Pb 0.6667 0.3333 0.6338  4 Mg 2.90-3.06, 3 Pm 3.17
Pb 0.3333 0.6667 0.3662  4 Mg 2.90-3.06, 3 Pm 3.17

Computed properties:
electronic total energy = -44.00 eV per formula unit
E_form = -0.321 eV per atom
DOS at the Fermi energy = 3.07 states/eV/cell

6.
First-principles (GGA-PBE) data for a relaxed Er15Tm2Sc2 crystal, as listed in Alexandria.

Unit cell a=8.5617 b=8.5617 c=8.5617 alpha=79.34 beta=79.34 gamma=79.34
Closest atoms and distances in Å follow each position.
Element x y z (fractional)
Er 0.0000 0.5000 0.0000  8 Er 3.24-3.33, 2 Sc 3.42
Er 0.0000 0.0000 0.5000  8 Er 3.24-3.33, 2 Sc 3.42
Er 0.5000 0.0000 0.0000  8 Er 3.24-3.33, 2 Sc 3.42
Er 0.2964 0.0000 0.7036  6 Er 3.24-3.33, 2 Sc 3.60
Er 0.7036 0.2964 0.0000  6 Er 3.24-3.33, 2 Sc 3.60
Er 0.0000 0.7036 0.2964  6 Er 3.24-3.33, 2 Sc 3.60
Er 0.2964 0.7036 0.0000  6 Er 3.24-3.33, 2 Sc 3.60
Er 0.0000 0.2964 0.7036  6 Er 3.24-3.33, 2 Sc 3.60
Er 0.7036 0.0000 0.2964  6 Er 3.24-3.33, 2 Sc 3.60
Er 0.3675 0.8553 0.3675  6 Er 3.24-3.25
Er 0.3675 0.3675 0.8553  6 Er 3.24-3.25
Er 0.8553 0.3675 0.3675  6 Er 3.24-3.25
Er 0.6325 0.1447 0.6325  6 Er 3.24-3.25
Er 0.6325 0.6325 0.1447  6 Er 3.24-3.25
Er 0.1447 0.6325 0.6325  6 Er 3.24-3.25
Tm 0.6807 0.6807 0.6807  15 Er 3.87-4.12, 1 Sc 3.97
Tm 0.3193 0.3193 0.3193  15 Er 3.87-4.12, 1 Sc 3.97
Sc 0.9093 0.9093 0.9093  1 Sc 3.15, 3 Er 3.42
Sc 0.0907 0.0907 0.0907  1 Sc 3.15, 3 Er 3.42

Computed properties:
electronic total energy = -84.30 eV per formula unit
E_form = 0.302 eV per atom
DOS at the Fermi energy = 33.03 states/eV/cell

7.
First-principles (GGA-PBE) data for a relaxed Ho3TmTl crystal, as listed in Alexandria.

Unit cell a=6.4966 b=9.7514 c=9.7514 alpha=84.14 beta=79.66 gamma=79.66
Closest atoms and distances in Å follow each position.
Element x y z (fractional)
Ho 0.1428 0.7299 0.8736  3 Tl 3.35-3.72, 2 Tm 3.36-3.58, 6 Ho 3.41-3.65
Ho 0.3572 0.1264 0.2701  3 Tl 3.35-3.72, 2 Tm 3.36-3.58, 6 Ho 3.41-3.65
Ho 0.8572 0.2701 0.1264  3 Tl 3.35-3.72, 2 Tm 3.36-3.58, 6 Ho 3.41-3.65
Ho 0.6428 0.8736 0.7299  3 Tl 3.35-3.72, 2 Tm 3.36-3.58, 6 Ho 3.41-3.65
Ho 0.3579 0.3778 0.0000  6 Ho 3.25-3.62, 2 Tl 3.27-3.28, 2 Tm 3.52-3.59
Ho 0.1421 0.0000 0.6222  6 Ho 3.25-3.62, 2 Tl 3.27-3.28, 2 Tm 3.52-3.59
Ho 0.6421 0.6222 0.0000  6 Ho 3.25-3.62, 2 Tl 3.27-3.28, 2 Tm 3.52-3.59
Ho 0.8579 0.0000 0.3778  6 Ho 3.25-3.62, 2 Tl 3.27-3.28, 2 Tm 3.52-3.59
Ho 0.0216 0.4070 0.7852  2 Tl 3.14-3.46, 3 Ho 3.25-3.51, 3 Tm 3.35-3.49
Ho 0.4784 0.2148 0.5930  2 Tl 3.14-3.46, 3 Ho 3.25-3.51, 3 Tm 3.35-3.49
Ho 0.9784 0.5930 0.2148  2 Tl 3.14-3.46, 3 Ho 3.25-3.51, 3 Tm 3.35-3.49
Ho 0.5216 0.7852 0.4070  2 Tl 3.14-3.46, 3 Ho 3.25-3.51, 3 Tm 3.35-3.49
Tm 0.5407 0.5374 0.6709  7 Ho 3.35-3.59, 4 Tm 3.54-3.69
Tm 0.9593 0.3291 0.4626  7 Ho 3.35-3.59, 4 Tm 3.54-3.69
Tm 0.4593 0.4626 0.3291  7 Ho 3.35-3.59, 4 Tm 3.54-3.69
Tm 0.0407 0.6709 0.5374  7 Ho 3.35-3.59, 4 Tm 3.54-3.69
Tl 0.7500 0.9163 0.0837  3 Tl 3.26-3.42, 6 Ho 3.28-3.46
Tl 0.2500 0.0837 0.9163  3 Tl 3.26-3.42, 6 Ho 3.28-3.46
Tl 0.7500 0.1656 0.8344  6 Ho 3.14-3.35, 3 Tl 3.26-3.42
Tl 0.2500 0.8344 0.1656  6 Ho 3.14-3.35, 3 Tl 3.26-3.42

Computed properties:
ΔE to the lowest computed polymorph = 77 meV per atom
electronic total energy = -20.77 eV per formula unit
E_form = -0.040 eV per atom
DOS at the Fermi energy = 26.04 states/eV/cell

8.
First-principles (GGA-PBE) data for a relaxed CeSeF crystal, as listed in Alexandria.

Unit cell a=3.5382 b=3.5382 c=5.4197 alpha=109.05 beta=109.05 gamma=90.00
Closest atoms and distances in Å follow each position.
Element x y z (fractional)
Ce 0.6913 0.6913 0.3826  4 F 2.70
Se 0.0132 0.0132 0.0264  1 F 2.71, 4 Ce 3.03
F 0.2955 0.2955 0.5910  4 Ce 2.70, 1 Se 2.71

Computed properties:
electronic total energy = -18.32 eV per formula unit
uncorrected formation energy = -2343 meV/atom
DOS at the Fermi energy = 4.38 states/eV/cell

9.
First-principles (GGA-PBE) data for a relaxed TlMo2Pb crystal, as listed in Alexandria.

Unit cell a=4.7873 b=4.7873 c=3.3773 alpha=90.00 beta=90.00 gamma=89.98
Closest atoms and distances in Å follow each position.
Element x y z (fractional)
Mo 0.0000 0.0000 0.0000  4 Pb 2.93, 4 Tl 2.93
Mo 0.5000 0.5000 0.0000  4 Tl 2.93, 4 Pb 2.93
Pb 0.5000 0.0000 0.5000  8 Mo 2.93
Tl 0.0000 0.5000 0.5000  8 Mo 2.93

Computed properties:
ΔE to the lowest computed polymorph = 517 meV per atom
electronic total energy = -24.03 eV per formula unit
E_form = 0.927 eV per atom
DOS at the Fermi energy = 3.38 states/eV/cell

10.
First-principles (GGA-PBE) data for a relaxed K2Mg4Sn3Bi crystal, as listed in Alexandria.

Unit cell a=4.8589 b=4.8589 c=12.8629 alpha=90.00 beta=90.00 gamma=90.00
Closest atoms and distances in Å follow each position.
Element x y z (fractional)
K 0.5000 0.0000 0.2411  6 Sn 3.71-4.12, 8 Mg 3.72-3.94, 2 Bi 4.12
K 0.0000 0.5000 0.7589  6 Sn 3.71-4.12, 8 Mg 3.72-3.94, 2 Bi 4.12
Mg 0.5000 0.5000 0.0000  4 Sn 2.97
Mg 0.0000 0.0000 0.0000  4 Sn 2.97
Mg 0.5000 0.0000 0.6476  3 Sn 2.83-3.08, 2 Bi 3.08
Mg 0.0000 0.5000 0.3524  3 Sn 2.83-3.08, 2 Bi 3.08
Sn 0.0000 0.0000 0.5000  4 Mg 3.08, 4 Bi 3.44
Sn 0.5000 0.0000 0.8678  5 Mg 2.83-2.97
Sn 0.0000 0.5000 0.1322  5 Mg 2.83-2.97
Bi 0.5000 0.5000 0.5000  4 Mg 3.08, 4 Sn 3.44

Computed properties:
electronic total energy = -26.67 eV per formula unit
E_form = -0.220 eV per atom
DOS at the Fermi energy = 3.46 states/eV/cell

11.
First-principles (GGA-PBE) data for a relaxed CeCuSnRu crystal, as listed in Alexandria.

Unit cell a=4.7622 b=4.7622 c=4.7622 alpha=60.00 beta=60.00 gamma=60.00
Closest atoms and distances in Å follow each position.
Element x y z (fractional)
Ru 0.7500 0.7500 0.7500  4 Sn 2.92, 4 Ce 2.92
Cu 0.2500 0.2500 0.2500  4 Ce 2.92, 4 Sn 2.92
Sn 0.5000 0.5000 0.5000  4 Cu 2.92, 4 Ru 2.92
Ce 0.0000 0.0000 0.0000  4 Ru 2.92, 4 Cu 2.92

Computed properties:
electronic total energy = -24.22 eV per formula unit
E_form = -0.228 eV per atom
DOS at the Fermi energy = 5.28 states/eV/cell

12.
First-principles (GGA-PBE) data for a relaxed NdThNi2 crystal, as listed in Alexandria.

Unit cell a=3.5264 b=3.5264 c=6.9742 alpha=90.00 beta=90.00 gamma=90.00
Closest atoms and distances in Å follow each position.
Element x y z (fractional)
Ni 0.0000 0.0000 0.7905  4 Th 2.89, 1 Ni 2.92, 4 Nd 3.21
Ni 0.0000 0.0000 0.2095  4 Th 2.89, 1 Ni 2.92, 4 Nd 3.21
Nd 0.5000 0.5000 0.5000  8 Ni 3.21, 2 Th 3.49, 4 Nd 3.53
Th 0.5000 0.5000 0.0000  8 Ni 2.89

Computed properties:
ΔE to the lowest computed polymorph = 95 meV per atom
electronic total energy = -24.88 eV per formula unit
E_form = -0.283 eV per atom
DOS at the Fermi energy = 3.42 states/eV/cell